1.
## Ba3CaGa2O6 (GGA-PBE)

Data for a geometry-optimized Ba3CaGa2O6 structure.

Cell and atoms, written as CIF:
```
data_Ba3CaGa2O6
_chemical_formula_sum 'Ba3 Ca1 Ga2 O6'
_space_group_name_H-M_alt 'P 1'
_space_group_IT_number 1
_cell_length_a 6.1065
_cell_length_b 6.1065
_cell_length_c 7.0642
_cell_angle_alpha 90.00
_cell_angle_beta 90.00
_cell_angle_gamma 120.00
loop_
_space_group_symop_operation_xyz
'x,y,z'
loop_
_atom_site_label
_atom_site_type_symbol
_atom_site_fract_x
_atom_site_fract_y
_atom_site_fract_z
_atom_site_occupancy
Ba1 Ba 0.0000 0.0000 0.0000 1
Ba2 Ba 0.3333 0.6667 0.6450 1
Ba3 Ba 0.6667 0.3333 0.3550 1
Ca1 Ca 0.0000 0.0000 0.5000 1
Ga1 Ga 0.3333 0.6667 0.1898 1
Ga2 Ga 0.6667 0.3333 0.8102 1
O1 O 0.1730 0.3459 0.3005 1
O2 O 0.1730 0.8270 0.3005 1
O3 O 0.3459 0.1730 0.6995 1
O4 O 0.6541 0.8270 0.3005 1
O5 O 0.8270 0.1730 0.6995 1
O6 O 0.8270 0.6541 0.6995 1
```

uncorrected formation energy: -2.23 eV/atom
symmetry: No. 164
Fermi-level density of states: 2.4 states/eV/f.u.
M_tot: 1.5 μB/cell


2.
## BaCa2GaO (GGA-PBE)

Data for a geometry-optimized BaCa2GaO structure.

Cell and atoms, written as CIF:
```
data_BaCa2GaO
_chemical_formula_sum 'Ba1 Ca2 Ga1 O1'
_space_group_name_H-M_alt 'P 1'
_space_group_IT_number 1
_cell_length_a 4.8739
_cell_length_b 4.8739
_cell_length_c 5.4611
_cell_angle_alpha 90.00
_cell_angle_beta 90.00
_cell_angle_gamma 90.00
loop_
_space_group_symop_operation_xyz
'x,y,z'
loop_
_atom_site_label
_atom_site_type_symbol
_atom_site_fract_x
_atom_site_fract_y
_atom_site_fract_z
_atom_site_occupancy
Ba1 Ba 0.0000 0.0000 0.0000 1
Ca1 Ca 0.0000 0.5000 0.5000 1
Ca2 Ca 0.5000 0.0000 0.5000 1
Ga1 Ga 0.5000 0.5000 0.0000 1
O1 O 0.0000 0.0000 0.5000 1
```

uncorrected formation energy: -1.22 eV/atom
symmetry: No. 123
Fermi-level density of states: 4.4 states/eV/f.u.
M_tot: 0.0 μB/cell


3.
## BaCaGaOs2 (GGA-PBE)

Data for a geometry-optimized BaCaGaOs2 structure.

Cell and atoms, written as CIF:
```
data_BaCaGaOs2
_chemical_formula_sum 'Ba1 Ca1 Ga1 Os2'
_space_group_name_H-M_alt 'P 1'
_space_group_IT_number 1
_cell_length_a 5.0793
_cell_length_b 5.0793
_cell_length_c 5.3546
_cell_angle_alpha 90.00
_cell_angle_beta 90.00
_cell_angle_gamma 90.00
loop_
_space_group_symop_operation_xyz
'x,y,z'
loop_
_atom_site_label
_atom_site_type_symbol
_atom_site_fract_x
_atom_site_fract_y
_atom_site_fract_z
_atom_site_occupancy
Ba1 Ba 0.0000 0.0000 0.0000 1
Ca1 Ca 0.5000 0.5000 0.5000 1
Ga1 Ga 0.5000 0.5000 0.0000 1
Os1 Os 0.0000 0.5000 0.5000 1
Os2 Os 0.5000 0.0000 0.5000 1
```

symmetry: No. 123
Fermi-level density of states: 8.1 states/eV/f.u.
M_tot: 2.1 μB/cell
formation energy from the elements: 1672.2 meV per atom


4.
## Ba2CaGa2P4 (GGA-PBE)

Data for a geometry-optimized Ba2CaGa2P4 structure.

Cell and atoms, written as CIF:
```
data_Ba2CaGa2P4
_chemical_formula_sum 'Ba2 Ca1 Ga2 P4'
_space_group_name_H-M_alt 'P 1'
_space_group_IT_number 1
_cell_length_a 8.1205
_cell_length_b 8.1205
_cell_length_c 7.5947
_cell_angle_alpha 108.76
_cell_angle_beta 108.76
_cell_angle_gamma 29.06
loop_
_space_group_symop_operation_xyz
'x,y,z'
loop_
_atom_site_label
_atom_site_type_symbol
_atom_site_fract_x
_atom_site_fract_y
_atom_site_fract_z
_atom_site_occupancy
Ba1 Ba 0.1258 0.1258 0.0499 1
Ba2 Ba 0.8742 0.8742 0.9501 1
Ca1 Ca 0.0000 0.0000 0.5000 1
Ga1 Ga 0.3331 0.3331 0.5228 1
Ga2 Ga 0.6669 0.6669 0.4772 1
P1 P 0.2109 0.2109 0.6766 1
P2 P 0.4753 0.4753 0.7517 1
P3 P 0.5247 0.5247 0.2483 1
P4 P 0.7891 0.7891 0.3234 1
```

symmetry: No. 12
Fermi-level density of states: 0.6 states/eV/f.u.
M_tot: 0.0 μB/cell
formation energy from the elements: -849.2 meV per atom


5.
## BaCa2GaPb (GGA-PBE)

Data for a geometry-optimized BaCa2GaPb structure.

Cell and atoms, written as CIF:
```
data_BaCa2GaPb
_chemical_formula_sum 'Ba1 Ca2 Ga1 Pb1'
_space_group_name_H-M_alt 'P 1'
_space_group_IT_number 1
_cell_length_a 6.0730
_cell_length_b 6.0730
_cell_length_c 5.6773
_cell_angle_alpha 90.00
_cell_angle_beta 90.00
_cell_angle_gamma 90.00
loop_
_space_group_symop_operation_xyz
'x,y,z'
loop_
_atom_site_label
_atom_site_type_symbol
_atom_site_fract_x
_atom_site_fract_y
_atom_site_fract_z
_atom_site_occupancy
Ba1 Ba 0.0000 0.0000 0.0000 1
Ca1 Ca 0.0000 0.5000 0.5000 1
Ca2 Ca 0.5000 0.0000 0.5000 1
Ga1 Ga 0.5000 0.5000 0.0000 1
Pb1 Pb 0.5000 0.5000 0.5000 1
```

symmetry: No. 123
Fermi-level density of states: 7.1 states/eV/f.u.
M_tot: 0.0 μB/cell
formation energy from the elements: 30.9 meV per atom


6.
## BaCa2GaPd (GGA-PBE)

Data for a geometry-optimized BaCa2GaPd structure.

Cell and atoms, written as CIF:
```
data_BaCa2GaPd
_chemical_formula_sum 'Ba1 Ca2 Ga1 Pd1'
_space_group_name_H-M_alt 'P 1'
_space_group_IT_number 1
_cell_length_a 5.5969
_cell_length_b 5.5969
_cell_length_c 5.0811
_cell_angle_alpha 90.00
_cell_angle_beta 90.00
_cell_angle_gamma 90.00
loop_
_space_group_symop_operation_xyz
'x,y,z'
loop_
_atom_site_label
_atom_site_type_symbol
_atom_site_fract_x
_atom_site_fract_y
_atom_site_fract_z
_atom_site_occupancy
Ba1 Ba 0.0000 0.0000 0.0000 1
Ca1 Ca 0.0000 0.5000 0.5000 1
Ca2 Ca 0.5000 0.0000 0.5000 1
Ga1 Ga 0.5000 0.5000 0.0000 1
Pd1 Pd 0.5000 0.5000 0.5000 1
```

symmetry: No. 123
Fermi-level density of states: 3.0 states/eV/f.u.
M_tot: 0.0 μB/cell
formation energy from the elements: -353.5 meV per atom


7.
## Ba2CaGaPd (GGA-PBE)

Data for a geometry-optimized Ba2CaGaPd structure.

Cell and atoms, written as CIF:
```
data_Ba2CaGaPd
_chemical_formula_sum 'Ba2 Ca1 Ga1 Pd1'
_space_group_name_H-M_alt 'P 1'
_space_group_IT_number 1
_cell_length_a 6.2753
_cell_length_b 6.2753
_cell_length_c 4.9715
_cell_angle_alpha 90.00
_cell_angle_beta 90.00
_cell_angle_gamma 90.00
loop_
_space_group_symop_operation_xyz
'x,y,z'
loop_
_atom_site_label
_atom_site_type_symbol
_atom_site_fract_x
_atom_site_fract_y
_atom_site_fract_z
_atom_site_occupancy
Ba1 Ba 0.0000 0.5000 0.0000 1
Ba2 Ba 0.5000 0.0000 0.0000 1
Ca1 Ca 0.0000 0.0000 0.5000 1
Ga1 Ga 0.5000 0.5000 0.5000 1
Pd1 Pd 0.5000 0.5000 0.0000 1
```

symmetry: No. 123
Fermi-level density of states: 4.0 states/eV/f.u.
M_tot: 0.0 μB/cell
formation energy from the elements: -238.3 meV per atom


8.
## BaCaGa2Pd2 (GGA-PBE)

Data for a geometry-optimized BaCaGa2Pd2 structure.

Cell and atoms, written as CIF:
```
data_BaCaGa2Pd2
_chemical_formula_sum 'Ba1 Ca1 Ga2 Pd2'
_space_group_name_H-M_alt 'P 1'
_space_group_IT_number 1
_cell_length_a 4.5270
_cell_length_b 4.5270
_cell_length_c 8.1850
_cell_angle_alpha 90.00
_cell_angle_beta 90.00
_cell_angle_gamma 120.00
loop_
_space_group_symop_operation_xyz
'x,y,z'
loop_
_atom_site_label
_atom_site_type_symbol
_atom_site_fract_x
_atom_site_fract_y
_atom_site_fract_z
_atom_site_occupancy
Ba1 Ba 0.0000 0.0000 0.0000 1
Ca1 Ca 0.0000 0.0000 0.5000 1
Ga1 Ga 0.3333 0.6667 0.2967 1
Ga2 Ga 0.6667 0.3333 0.7033 1
Pd1 Pd 0.3333 0.6667 0.7006 1
Pd2 Pd 0.6667 0.3333 0.2994 1
```

symmetry: No. 164
Fermi-level density of states: 4.7 states/eV/f.u.
M_tot: 0.0 μB/cell
formation energy from the elements: -654.6 meV per atom